Tc2MoPt: relaxed, PBE-GGA.

Properties
Offset from the most stable computed form, meV per atom: 687
Space-group type: I-42d, No. 122
E_form, eV/f.u.: 2.1

Structure (extended XYZ):
```
8
Lattice="-0.099 2.916 -2.466 -1.818 -2.205 -2.535 -8.932 2.986 0.930" Properties=species:S:1:pos:R:3 pbc="T T T"
Mo -0.959 0.355 -2.500
Mo -5.854 0.568 -2.052
Tc -2.525 2.369 -1.689
Tc -3.379 -0.342 -1.596
Tc -7.371 2.563 -1.112
Tc -8.423 2.805 -3.743
Pt 0.000 0.000 0.000
Pt -4.995 3.129 -2.018
```


RbReP2S: relaxed, PBE-GGA.

Properties
Offset from the most stable computed form, meV per atom: 3011
Space-group type: P4/mmm, No. 123

Structure (extended XYZ):
```
5
Lattice="5.028 0.000 0.000 0.000 5.028 0.000 0.000 0.000 5.085" Properties=species:S:1:pos:R:3 pbc="T T T"
Re 2.514 2.514 2.543
S 0.000 0.000 2.543
Rb 0.000 0.000 0.000
P 0.000 2.514 0.000
P 2.514 0.000 0.000
```


Y4PCS2: relaxed, PBE-GGA.

Properties
Energy, eV per formula unit: -61.32
Space-group type: P2/m, No. 10

Structure (extended XYZ):
```
8
Lattice="-0.932 -0.520 3.693 1.384 -6.557 -0.574 5.615 3.283 1.880" Properties=species:S:1:pos:R:3 pbc="T T T"
Y 1.083 -1.005 2.133
Y 4.985 -2.789 2.867
Y 4.654 0.973 1.312
Y 2.346 -4.247 -0.006
P 0.226 -3.538 1.559
C 0.000 0.000 0.000
S 2.342 1.381 2.787
S 3.500 -1.637 0.653
```


BeIrBr: relaxed, PBE-GGA.

Properties
Offset from the most stable computed form, meV per atom: 137
Space-group type: P-1, No. 2

Structure (extended XYZ):
```
6
Lattice="-0.951 -2.926 -2.896 0.431 -3.002 1.624 -8.934 -0.632 1.731" Properties=species:S:1:pos:R:3 pbc="T T T"
Be -9.330 -5.632 0.394
Be -1.473 -2.779 1.172
Ir -1.972 -3.275 -1.279
Ir -0.328 -1.505 -0.512
Br -3.593 -2.935 0.627
Br -7.210 -5.480 0.935
```


- Number 4 is which compound?
  BeIrBr


Copy entry 2 word for word.
RbReP2S: relaxed, PBE-GGA.

Properties
Offset from the most stable computed form, meV per atom: 3011
Space-group type: P4/mmm, No. 123

Structure (extended XYZ):
```
5
Lattice="5.028 0.000 0.000 0.000 5.028 0.000 0.000 0.000 5.085" Properties=species:S:1:pos:R:3 pbc="T T T"
Re 2.514 2.514 2.543
S 0.000 0.000 2.543
Rb 0.000 0.000 0.000
P 0.000 2.514 0.000
P 2.514 0.000 0.000
```